## PuSiTe3 (PBE)

Data for crystalline PuSiTe3 at its relaxed geometry. Values from VASP.

Computed properties:
Calculated density ... 7.43 g/cm3
N(E_F) ... 2.411 states/eV per atom
ΔE_f (raw) ... -333 meV/atom
Energy ... -6.17 eV per atom
Symmetry ... P-1 (2)

```
&SYSTEM
  ibrav = 0, nat = 10, ntyp = 3
/
ATOMIC_SPECIES
Pu 244.00 Pu.upf
Si 28.09 Si.upf
Te 127.60 Te.upf
CELL_PARAMETERS angstrom
5.982 0.000 0.000
-0.010 7.607 0.000
-2.990 -3.559 6.430
ATOMIC_POSITIONS angstrom
Pu 0.001 0.503 1.957
Pu 2.981 3.545 4.473
Si -1.495 -1.780 3.215
Si 1.496 -1.780 3.215
Te -1.484 -1.601 6.021
Te -0.009 3.318 3.429
Te 1.496 5.651 0.410
Te 1.485 -1.603 6.020
Te 2.991 0.730 3.001
Te 4.466 5.650 0.409
```